Material: K3Zn2Hg9
Method: DFT, GGA-PBE
State: optimized geometry

The value obtained for the theoretical density is 8.3 g/cm³. The value obtained for the density of states at the Fermi level is 7.16 states/eV per cell. The value obtained for the spin magnetization is 0.000 μB/atom. The formation energy is -0.155 eV per atom.

It has space group Immm (No. 71), with a = 4.867 Å, b = 11.942 Å, c = 14.127 Å, α = 90.00°, β = 90.00° and γ = 90.00°. Symmetry generates all atoms from K at (0.000, 0.000, 0.000), K at (0.000, 0.000, 0.316), Zn at (0.000, 0.232, 0.500), Hg at (0.000, 0.284, 0.124), Hg at (0.000, 0.368, 0.334) and Hg at (0.000, 0.500, 0.000).